(1)
Computed, not measured: a relaxed structure of ErTh2Al at the PBE-GGA level of DFT.

a = 3.3598 Å, b = 3.3598 Å, c = 35.5371 Å
α = 90.00°, β = 90.00°, γ = 120.00°
Space group R-3m (No. 166, hexagonal axes)
Symmetry-distinct sites (fractional):
Er1 0.0000 0.0000 0.0000 [3 per cell]
Th1 0.0000 0.0000 0.0929 [6 per cell]
Al1 0.0000 0.0000 0.5000 [3 per cell]

Summary:
- energy of formation (eV per atom) = 0.199
- DOS(E_F) (states/eV per cell) = 16.31
- mass density (g/cm3) = 9.4
- E (eV/atom) = -5.5874
- excess energy over the best structure of this formula in the dataset (eV/atom) = 0.331


(2)
Computed, not measured: a relaxed structure of ErThAl2 at the PBE-GGA level of DFT.

a = 3.5792 Å, b = 3.5792 Å, c = 28.2026 Å
α = 90.00°, β = 90.00°, γ = 120.00°
Space group R-3m (No. 166, hexagonal axes)
Symmetry-distinct sites (fractional):
Er1 0.0000 0.0000 0.0000 [3 per cell]
Th1 0.0000 0.0000 0.5000 [3 per cell]
Al1 0.0000 0.0000 0.2528 [6 per cell]

Summary:
- energy of formation (eV per atom) = -0.080
- DOS(E_F) (states/eV per cell) = 13.18
- mass density (g/cm3) = 7.2
- E (eV/atom) = -4.9471
- excess energy over the best structure of this formula in the dataset (eV/atom) = 0.229


(3)
Computed, not measured: a relaxed structure of ErTh2Al at the PBE-GGA level of DFT.

a = 4.782 Å, b = 4.782 Å, c = 4.882 Å
α = 90.00°, β = 90.00°, γ = 90.00°
Space group P4/mmm (No. 123)
Symmetry-distinct sites (fractional):
Er1 0.000 0.000 0.000 [1 per cell]
Th1 0.000 0.500 0.500 [2 per cell]
Al1 0.500 0.500 0.000 [1 per cell]

Summary:
- energy of formation (eV per atom) = -0.132
- DOS(E_F) (states/eV per cell) = 4.20
- mass density (g/cm3) = 9.8
- E (eV/atom) = -5.9180
- excess energy over the best structure of this formula in the dataset (eV/atom) = 0.000


(4)
Computed, not measured: a relaxed structure of ErThAl2 at the PBE-GGA level of DFT.

a = 7.943 Å, b = 4.423 Å, c = 11.143 Å
α = 90.00°, β = 90.00°, γ = 90.00°
Space group Pnma (No. 62)
Symmetry-distinct sites (fractional):
Er1 0.047 0.250 0.103 [4 per cell]
Th1 0.214 0.750 0.316 [4 per cell]
Al1 0.077 0.750 0.638 [4 per cell]
Al2 0.195 0.250 0.525 [4 per cell]

Summary:
- energy of formation (eV per atom) = -0.309
- DOS(E_F) (states/eV per cell) = 13.80
- mass density (g/cm3) = 7.7
- E (eV/atom) = -5.1757
- excess energy over the best structure of this formula in the dataset (eV/atom) = 0.000


(5)
Computed, not measured: a relaxed structure of ErThAl at the PBE-GGA level of DFT.

a = 3.472 Å, b = 3.472 Å, c = 13.476 Å
α = 90.00°, β = 90.00°, γ = 90.00°
Space group I4mm (No. 107)
Symmetry-distinct sites (fractional):
Er1 0.000 0.000 0.000 [2 per cell]
Th1 0.000 0.000 0.702 [2 per cell]
Al1 0.000 0.000 0.357 [2 per cell]

Summary:
- energy of formation (eV per atom) = -0.169
- DOS(E_F) (states/eV per cell) = 6.18
- mass density (g/cm3) = 8.7
- E (eV/atom) = -5.4104
- excess energy over the best structure of this formula in the dataset (eV/atom) = 0.000


(6)
Computed, not measured: a relaxed structure of Er5ThAl6 at the PBE-GGA level of DFT.

a = 5.082 Å, b = 7.213 Å, c = 15.259 Å
α = 90.00°, β = 90.00°, γ = 90.00°
Space group Immm (No. 71)
Symmetry-distinct sites (fractional):
Er1 0.000 0.000 0.000 [2 per cell]
Er2 0.000 0.000 0.340 [4 per cell]
Er3 0.000 0.500 0.329 [4 per cell]
Th1 0.000 0.500 0.000 [2 per cell]
Al1 0.000 0.240 0.171 [8 per cell]
Al2 0.000 0.270 0.500 [4 per cell]

Summary:
- energy of formation (eV per atom) = -0.357
- DOS(E_F) (states/eV per cell) = 11.00
- mass density (g/cm3) = 7.3
- E (eV/atom) = -4.7481


(7)
Computed, not measured: a relaxed structure of ErThAl6 at the PBE-GGA level of DFT.

a = 6.3763 Å, b = 6.3763 Å, c = 4.6447 Å
α = 90.00°, β = 90.00°, γ = 120.00°
Space group P-6m2 (No. 187)
Symmetry-distinct sites (fractional):
Er1 0.0000 0.0000 0.0000 [1 per cell]
Th1 0.3333 0.6667 0.5000 [1 per cell]
Al1 0.3755 0.1877 0.5000 [3 per cell]
Al2 0.5249 0.0497 0.0000 [3 per cell]

Summary:
- energy of formation (eV per atom) = -0.405
- DOS(E_F) (states/eV per cell) = 1.26
- mass density (g/cm3) = 5.7
- E (eV/atom) = -4.7098


(8)
Computed, not measured: a relaxed structure of Er2ThAl6 at the PBE-GGA level of DFT.

a = 7.9023 Å, b = 7.9023 Å, c = 3.5669 Å
α = 90.00°, β = 90.00°, γ = 120.00°
Space group P6/mmm (No. 191)
Symmetry-distinct sites (fractional):
Er1 0.3333 0.6667 0.0000 [2 per cell]
Th1 0.0000 0.0000 0.0000 [1 per cell]
Al1 0.0000 0.3355 0.5000 [6 per cell]

Summary:
- energy of formation (eV per atom) = -0.446
- DOS(E_F) (states/eV per cell) = 3.84
- mass density (g/cm3) = 6.3
- E (eV/atom) = -4.7791
- excess energy over the best structure of this formula in the dataset (eV/atom) = 0.000


no.,magnetic moment (μB/f.u.)
1,0.0
2,0.0
3,0.0
4,0.0
5,0.0
6,0.0
7,0.0
8,0.0